1.
## RbNa2In3I6 (GGA-PBE)

Data for an optimized crystal structure of RbNa2In3I6.

Values from the calculation:
Total energy = -2.637 eV per atom
Crystal system = monoclinic
Formation energy (no corrections) = -85 kJ per mole of atoms
Mass density = 4.0 g cm⁻³

a = 10.978 Å, b = 10.978 Å, c = 9.930 Å
α = 102.54°, β = 102.54°, γ = 25.82°
Fractional coordinates of all 12 atoms:
Rb 0.000 0.000 0.000
Na 0.328 0.328 0.659
Na 0.672 0.672 0.341
In 0.000 0.000 0.500
In 0.334 0.334 0.172
In 0.666 0.666 0.828
I 0.173 0.173 0.578
I 0.176 0.176 0.107
I 0.483 0.483 0.732
I 0.517 0.517 0.268
I 0.824 0.824 0.893
I 0.827 0.827 0.422

---

2.
## RbNaIn2I8 (GGA-PBE)

Data for an optimized crystal structure of RbNaIn2I8.

Values from the calculation:
Total energy = -2.484 eV per atom
Crystal system = trigonal
Formation energy (no corrections) = -78 kJ per mole of atoms
Mass density = 3.9 g cm⁻³

a = 7.694 Å, b = 7.694 Å, c = 11.229 Å
α = 90.00°, β = 90.00°, γ = 120.00°
Fractional coordinates of all 12 atoms:
Rb 0.000 0.000 0.000
Na 0.000 0.000 0.500
In 0.333 0.667 0.753
In 0.667 0.333 0.247
I 0.011 0.678 0.317
I 0.322 0.333 0.317
I 0.333 0.011 0.683
I 0.333 0.667 0.999
I 0.667 0.333 0.001
I 0.667 0.989 0.317
I 0.678 0.667 0.683
I 0.989 0.322 0.683